DFT (PBE) results for Rb2LaCl4 after structural relaxation.

Properties
- Crystal system: tetragonal
- Fermi-level density of states: 0.694 states/eV/atom
- Energy relative to the elements, uncorrected: -1915 meV/atom

Geometry as POSCAR:
```
Rb2LaCl4
1.0
5.662 0.000 0.000
0.000 5.662 0.000
2.831 2.831 8.438
Cl Rb La
4 2 1
Direct
0.500 0.000 0.000
0.168 0.168 0.664
0.000 0.500 0.000
0.832 0.832 0.336
0.360 0.360 0.280
0.640 0.640 0.720
0.000 0.000 0.000
```

=====

DFT (PBE) results for TlTc2Pt after structural relaxation.

Properties
- Formation energy from the elements: 0.391 eV/atom
- Crystal system: tetragonal
- Fermi-level density of states: 1.207 states/eV/atom
- ΔE to the lowest computed polymorph: 198 meV/atom

Geometry as POSCAR:
```
TlTc2Pt
1.0
4.945 0.014 0.000
1.635 4.667 0.000
-3.290 -2.341 2.855
Tc Pt Tl
2 1 1
Direct
0.250 0.750 0.500
0.000 0.000 0.000
0.750 0.250 0.500
0.500 0.500 0.000
```

=====

DFT (PBE) results for AgSb after structural relaxation.

Properties
- Crystal system: tetragonal
- Fermi-level density of states: 0.492 states/eV/atom
- ΔE to the lowest computed polymorph: 97 meV/atom
- Energy relative to the elements, uncorrected: 177 meV/atom

Geometry as POSCAR:
```
AgSb
1.0
5.666 -0.038 0.000
2.264 5.194 0.000
-3.965 -2.578 3.120
Sb Ag
2 2
Direct
0.500 0.500 0.000
0.750 0.250 0.500
0.250 0.750 0.500
0.000 0.000 0.000
```

=====

DFT (PBE) results for PPtO2 after structural relaxation.

Properties
- Crystal system: trigonal
- Fermi-level density of states: 0.446 states/eV/atom
- Energy relative to the elements, uncorrected: -253 meV/atom

Geometry as POSCAR:
```
PPtO2
1.0
-3.427 0.534 5.565
-1.044 -1.028 6.392
-0.888 1.928 6.204
P Pt O
1 1 2
Direct
0.500 0.500 0.500
0.000 0.000 0.000
0.893 0.893 0.893
0.107 0.107 0.107
```

=====

DFT (PBE) results for Pm5Ag2Sn2 after structural relaxation.

Properties
- Formation energy from the elements: -0.417 eV/atom
- Crystal system: orthorhombic
- Fermi-level density of states: 1.010 states/eV/atom

Geometry as POSCAR:
```
Pm5Ag2Sn2
1.0
-8.103 -0.182 0.764
-0.639 -3.255 -7.556
0.778 -5.700 6.895
Sn Ag Pm
4 4 10
Direct
0.500 0.295 0.589
0.000 0.205 0.411
0.000 0.795 0.589
0.500 0.705 0.411
0.374 0.125 0.000
0.626 0.875 0.000
0.874 0.375 0.000
0.126 0.625 0.000
0.667 0.310 0.275
0.167 0.190 0.725
0.000 0.000 0.000
0.667 0.035 0.725
0.500 0.500 0.000
0.333 0.690 0.725
0.833 0.535 0.725
0.833 0.810 0.275
0.167 0.465 0.275
0.333 0.965 0.275
```

=====

DFT (PBE) results for TbPm2Ga after structural relaxation.

Properties
- Formation energy from the elements: 0.017 eV/atom
- Crystal system: trigonal
- Fermi-level density of states: 1.315 states/eV/atom
- ΔE to the lowest computed polymorph: 277 meV/atom

Geometry as POSCAR:
```
TbPm2Ga
1.0
3.556 0.000 0.000
1.778 3.080 0.000
1.778 1.027 11.486
Pm Ga Tb
2 1 1
Direct
0.898 0.898 0.305
0.102 0.102 0.695
0.500 0.500 0.500
0.000 0.000 0.000
```

=====

DFT (PBE) results for LaI3 after structural relaxation.

Properties
- Crystal system: orthorhombic
- Fermi-level density of states: 0.000 states/eV/atom
- Energy relative to the elements, uncorrected: -1529 meV/atom

Geometry as POSCAR:
```
LaI3
1.0
8.121 -0.001 0.000
-6.904 4.276 0.000
0.000 0.000 10.154
I La
6 2
Direct
0.345 0.655 0.567
0.655 0.345 0.067
0.655 0.345 0.433
0.345 0.655 0.933
0.905 0.095 0.250
0.095 0.905 0.750
0.741 0.259 0.750
0.259 0.741 0.250
```

=====

DFT (PBE) results for TbGa8Tc2 after structural relaxation.

Properties
- Formation energy from the elements: -0.180 eV/atom
- Crystal system: monoclinic
- Fermi-level density of states: 0.509 states/eV/atom

Geometry as POSCAR:
```
TbGa8Tc2
1.0
-2.388 4.222 0.139
-3.262 -2.848 -5.196
-3.153 -3.124 5.104
Ga Tc Tb
8 2 1
Direct
0.103 0.355 0.097
0.897 0.645 0.903
0.103 0.097 0.355
0.757 0.381 0.381
0.500 0.704 0.296
0.897 0.903 0.645
0.243 0.619 0.619
0.500 0.296 0.704
0.000 0.719 0.281
0.000 0.281 0.719
0.500 0.000 0.000
```

=====

DFT (PBE) results for ZrAlSe2 after structural relaxation.

Properties
- Crystal system: orthorhombic
- Fermi-level density of states: 0.289 states/eV/atom
- Energy relative to the elements, uncorrected: -652 meV/atom

Geometry as POSCAR:
```
ZrAlSe2
1.0
5.099 -0.052 -0.002
1.216 4.952 0.002
-2.558 -3.223 3.012
Se Al Zr
2 1 1
Direct
0.463 0.463 0.000
0.037 0.037 0.000
0.250 0.750 0.500
0.750 0.250 0.500
```

=====

DFT (PBE) results for Hf7TiTl3 after structural relaxation.

Properties
- Formation energy from the elements: 0.410 eV/atom
- Crystal system: monoclinic
- Fermi-level density of states: 1.149 states/eV/atom

Geometry as POSCAR:
```
Hf7TiTl3
1.0
5.256 -0.101 -0.129
-2.485 7.046 0.483
-2.485 -1.239 6.953
Ti Hf Tl
1 7 3
Direct
0.500 0.500 0.500
0.797 0.798 0.798
0.203 0.202 0.202
0.333 0.071 0.594
0.667 0.406 0.929
0.667 0.929 0.406
0.000 0.500 0.500
0.333 0.594 0.071
0.000 0.224 0.776
0.500 0.000 0.000
0.000 0.776 0.224
```

=====

DFT (PBE) results for LaMn3 after structural relaxation.

Properties
- Formation energy from the elements: 0.517 eV/atom
- Crystal system: hexagonal
- Fermi-level density of states: 1.272 states/eV/atom

Geometry as POSCAR:
```
LaMn3
1.0
-3.357 -5.457 1.648
3.233 -5.329 2.218
-0.706 2.715 7.554
Mn La
12 4
Direct
0.500 0.000 0.500
0.209 0.583 0.250
0.417 0.791 0.750
0.000 0.500 0.000
0.500 0.500 0.500
0.791 0.417 0.750
0.791 0.791 0.750
0.583 0.209 0.250
0.209 0.209 0.250
0.500 0.000 0.000
0.000 0.500 0.500
0.500 0.500 0.000
0.000 0.000 0.000
0.000 0.000 0.500
0.333 0.333 0.750
0.667 0.667 0.250
```

=====

DFT (PBE) results for Er3Tl4SnSe8 after structural relaxation.

Properties
- Crystal system: trigonal
- Fermi-level density of states: 0.321 states/eV/atom
- Energy relative to the elements, uncorrected: -1124 meV/atom

Geometry as POSCAR:
```
Er3Tl4SnSe8
1.0
-3.696 0.399 7.460
-6.526 -5.649 -2.931
7.883 -2.640 -0.610
Se Tl Er Sn
8 4 3 1
Direct
0.268 0.297 0.033
0.235 0.703 0.967
0.266 0.297 0.531
0.732 0.703 0.967
0.734 0.703 0.469
0.765 0.297 0.033
0.235 0.703 0.471
0.765 0.297 0.529
0.500 0.000 0.500
0.000 0.000 0.500
0.000 0.000 0.000
0.500 0.000 0.000
0.500 0.500 0.000
0.000 0.500 0.500
0.500 0.500 0.500
0.000 0.500 0.000
```

=====

The highest Fermi-level density of states belongs to which entry?
TbPm2Ga